Density functional theory data (PBE-GGA) for a geometry-optimized RbTlSnBi structure.

The structure in CIF format:
```
data_RbTlSnBi
_chemical_formula_sum 'Rb3 Tl3 Sn3 Bi3'
_symmetry_space_group_name_H-M 'R 3 m'
_symmetry_Int_Tables_number 160
_symmetry_space_group_name_Hall 'R 3 -2"'
_cell_length_a 5.2906
_cell_length_b 5.2906
_cell_length_c 20.4277
_cell_angle_alpha 90.00
_cell_angle_beta 90.00
_cell_angle_gamma 120.00
loop_
_atom_site_label
_atom_site_type_symbol
_atom_site_fract_x
_atom_site_fract_y
_atom_site_fract_z
Rb1 Rb 0.0000 0.0000 0.0000
Tl1 Tl 0.0000 0.0000 0.4482
Sn1 Sn 0.0000 0.0000 0.8100
Bi1 Bi 0.0000 0.0000 0.2027
```

Energy above the most stable polymorph in this dataset in meV per atom: 0.0
Energy of formation in eV per formula unit: -0.374



Density functional theory data (PBE-GGA) for a geometry-optimized NiPt4 structure.

The structure in CIF format:
```
data_NiPt4
_chemical_formula_sum 'Ni1 Pt4'
_symmetry_space_group_name_H-M 'P m -3 m'
_symmetry_Int_Tables_number 221
_symmetry_space_group_name_Hall '-P 4 2 3'
_cell_length_a 4.498
_cell_length_b 4.498
_cell_length_c 4.498
_cell_angle_alpha 90.00
_cell_angle_beta 90.00
_cell_angle_gamma 90.00
loop_
_atom_site_label
_atom_site_type_symbol
_atom_site_fract_x
_atom_site_fract_y
_atom_site_fract_z
Ni1 Ni 0.000 0.000 0.000
Pt1 Pt 0.000 0.000 0.500
Pt2 Pt 0.500 0.500 0.500
```

Energy above the most stable polymorph in this dataset in meV per atom: 1143.4
Energy of formation in eV per formula unit: 5.500



Density functional theory data (PBE-GGA) for a geometry-optimized ScMoAs structure.

The structure in CIF format:
```
data_ScMoAs
_chemical_formula_sum 'Sc8 Mo8 As8'
_symmetry_space_group_name_H-M 'C 1 2/m 1'
_symmetry_Int_Tables_number 12
_cell_length_a 16.073
_cell_length_b 3.417
_cell_length_c 8.640
_cell_angle_alpha 90.00
_cell_angle_beta 91.54
_cell_angle_gamma 90.00
loop_
_symmetry_equiv_pos_as_xyz
'x,y,z'
'-x,-y,-z'
'-x,y,-z'
'x,-y,z'
'x+1/2,y+1/2,z'
'-x+1/2,-y+1/2,-z'
'-x+1/2,y+1/2,-z'
'x+1/2,-y+1/2,z'
loop_
_atom_site_label
_atom_site_type_symbol
_atom_site_fract_x
_atom_site_fract_y
_atom_site_fract_z
Sc1 Sc 0.041 0.000 0.340
Sc2 Sc 0.095 0.500 0.869
Mo1 Mo 0.241 0.000 0.378
Mo2 Mo 0.242 0.000 0.869
As1 As 0.136 0.000 0.616
As2 As 0.142 0.000 0.112
```

Energy of formation in eV per formula unit: -0.897